Record 1
A plane-wave DFT calculation with PBE was carried out for Tl3Sn3Pb2 after structural relaxation.

abc: 3.4603 5.8837 11.7792
angles: 90.00 90.00 90.00
Element x y z (fractional)
Tl  0.0000  0.0000  0.0000
Tl  0.5000  0.0000  0.2572
Tl  0.5000  0.0000  0.7428
Sn  0.0000  0.0000  0.5000
Sn  0.5000  0.5000  0.0000
Sn  0.5000  0.5000  0.5000
Pb  0.0000  0.5000  0.2472
Pb  0.0000  0.5000  0.7528

**Total magnetization**: 0.00 μB per formula unit
**SG**: Pmmm
**N(E_F)**: 4.29 states/eV/f.u.
**ΔE_f**: 0.060 eV per atom



Record 2
A plane-wave DFT calculation with PBE was carried out for BaNb3NO7 after structural relaxation.

abc: 10.7877 10.7877 9.1211
angles: 90.72 90.72 20.73
Element x y z (fractional)
Ba  0.0000  0.0000  0.0000
Ba  0.0278  0.0278  0.4630
Nb  0.2471  0.2471  0.9790
Nb  0.3724  0.3724  0.2977
Nb  0.3780  0.3780  0.6812
Nb  0.6378  0.6378  0.1720
Nb  0.6405  0.6405  0.7771
Nb  0.7634  0.7634  0.4755
N  0.5638  0.5638  0.2684
N  0.7029  0.7029  0.3355
O  0.1601  0.1601  0.1176
O  0.1625  0.1625  0.8125
O  0.2973  0.2973  0.4840
O  0.2994  0.2994  0.1411
O  0.3084  0.3084  0.8299
O  0.4263  0.4263  0.4796
O  0.4340  0.4340  0.1616
O  0.4460  0.4460  0.8046
O  0.5776  0.5776  0.6388
O  0.5886  0.5886  0.9547
O  0.7166  0.7166  0.6493
O  0.7231  0.7231  0.9679
O  0.8511  0.8511  0.3239
O  0.8636  0.8636  0.6487

**Total magnetization**: 0.00 μB per formula unit
**SG**: Cm
**Raw formation energy**: -2.398 eV per atom
**Excess energy over the best structure of this formula in the dataset**: 16.9 meV/atom



Record 3
A plane-wave DFT calculation with PBE was carried out for Ag2H12SN4O4 after structural relaxation.

abc: 8.6346 8.6346 6.3392
angles: 90.00 90.00 90.00
Element x y z (fractional)
Ag  0.0000  0.5000  0.0012
Ag  0.0000  0.5000  0.5012
Ag  0.5000  0.0000  0.4988
Ag  0.5000  0.0000  0.9988
H  0.0591  0.2170  0.1427
H  0.0967  0.2111  0.8842
H  0.2044  0.2768  0.5476
H  0.2111  0.9033  0.1158
H  0.2170  0.9409  0.8573
H  0.2232  0.2956  0.0476
H  0.2768  0.7956  0.4524
H  0.2830  0.4409  0.6427
H  0.2889  0.4033  0.3842
H  0.2956  0.7768  0.9524
H  0.4033  0.7111  0.6158
H  0.4409  0.7170  0.3573
H  0.5591  0.2830  0.3573
H  0.5967  0.2889  0.6158
H  0.7044  0.2232  0.9524
H  0.7111  0.5967  0.3842
H  0.7170  0.5591  0.6427
H  0.7232  0.2044  0.4524
H  0.7768  0.7044  0.0476
H  0.7830  0.0591  0.8573
H  0.7889  0.0967  0.1158
H  0.7956  0.7232  0.5476
H  0.9033  0.7889  0.8842
H  0.9409  0.7830  0.1427
S  0.0000  0.0000  0.5000
S  0.5000  0.5000  0.0000
N  0.1070  0.2776  0.0183
N  0.2224  0.3930  0.5183
N  0.2776  0.8930  0.9817
N  0.3930  0.7776  0.4817
N  0.6070  0.2224  0.4817
N  0.7224  0.1070  0.9817
N  0.7776  0.6070  0.5183
N  0.8930  0.7224  0.0183
O  0.0699  0.8767  0.3637
O  0.1233  0.0699  0.6363
O  0.3767  0.5699  0.8637
O  0.4301  0.3767  0.1363
O  0.5699  0.6233  0.1363
O  0.6233  0.4301  0.8637
O  0.8767  0.9301  0.6363
O  0.9301  0.1233  0.3637

**VASP energy**: -5.107 eV per atom
**Total magnetization**: 0.00 μB per formula unit
**SG**: P-42_1c
**N(E_F)**: 0.00 states/eV/f.u.



Record 4
A plane-wave DFT calculation with PBE was carried out for Sr3AlGe3 after structural relaxation.

abc: 6.3697 6.3697 14.6985
angles: 108.57 108.57 43.15
Element x y z (fractional)
Sr  0.0187  0.0187  0.3832
Sr  0.1042  0.1042  0.9225
Sr  0.2334  0.2334  0.2267
Sr  0.7666  0.7666  0.7733
Sr  0.8958  0.8958  0.0775
Sr  0.9813  0.9813  0.6168
Al  0.2778  0.2778  0.6041
Al  0.7222  0.7222  0.3959
Ge  0.3360  0.3360  0.4487
Ge  0.3993  0.3993  0.9243
Ge  0.4701  0.4701  0.7706
Ge  0.5299  0.5299  0.2294
Ge  0.6007  0.6007  0.0757
Ge  0.6640  0.6640  0.5513

**Total magnetization**: 0.00 μB per formula unit
**SG**: C2/m
**N(E_F)**: 1.93 states/eV/f.u.
**ΔE_f**: -0.545 eV per atom
**Excess energy over the best structure of this formula in the dataset**: 0.0 meV/atom



Record 5
A plane-wave DFT calculation with PBE was carried out for Fe3Se after structural relaxation.

abc: 4.4997 4.4997 4.4997
angles: 90.00 90.00 90.00
Element x y z (fractional)
Fe  0.0000  0.0000  0.5000
Fe  0.0000  0.5000  0.0000
Fe  0.5000  0.0000  0.0000
Se  0.0000  0.0000  0.0000

**Total magnetization**: 7.99 μB per formula unit
**SG**: Pm-3m
**Raw formation energy**: 1.199 eV per atom
**N(E_F)**: 7.83 states/eV/f.u.
**Excess energy over the best structure of this formula in the dataset**: 1035.5 meV/atom



Record 6
A plane-wave DFT calculation with PBE was carried out for Li2AsAu after structural relaxation.

abc: 2.8806 4.5225 4.8467
angles: 90.00 90.00 90.00
Element x y z (fractional)
Li  0.0000  0.0000  0.0000
Li  0.0000  0.5000  0.3496
As  0.5000  0.5000  0.8474
Au  0.5000  0.0000  0.4994

**Total magnetization**: 0.00 μB per formula unit
**SG**: Pmm2
**N(E_F)**: 1.71 states/eV/f.u.
**ΔE_f**: -0.476 eV per atom



Question: Number 3 is which compound?
Answer: Ag2H12SN4O4